No. 1
Here is RbY6S8 after structural relaxation from Alexandria via LeMat-Bulk. Energies are from GGA-PBE.

Cell lengths 7.7909, 7.7909, 7.7909 Å; angles 93.32, 93.32, 93.32 degrees
Closest atoms and distances in Å follow each position.
Atoms (fractional coordinates):
Rb (0.0000, 0.0000, 0.0000)  2 S 3.21
Y (0.1942, 0.3815, 0.5675)  5 S 2.67-2.81
Y (0.3815, 0.5675, 0.1942)  5 S 2.67-2.81
Y (0.4325, 0.8058, 0.6185)  5 S 2.67-2.81
Y (0.5675, 0.1942, 0.3815)  5 S 2.67-2.81
Y (0.6185, 0.4325, 0.8058)  5 S 2.67-2.81
Y (0.8058, 0.6185, 0.4325)  5 S 2.67-2.81
S (0.1447, 0.6909, 0.4088)  4 Y 2.69-2.81
S (0.2532, 0.2532, 0.2532)  3 Y 2.67
S (0.3091, 0.5912, 0.8553)  4 Y 2.69-2.81
S (0.4088, 0.1447, 0.6909)  4 Y 2.69-2.81
S (0.5912, 0.8553, 0.3091)  4 Y 2.69-2.81
S (0.6909, 0.4088, 0.1447)  4 Y 2.69-2.81
S (0.7468, 0.7468, 0.7468)  3 Y 2.67
S (0.8553, 0.3091, 0.5912)  4 Y 2.69-2.81

Output
Symmetry: R-3



No. 2
Here is RbYS2 after structural relaxation from Alexandria via LeMat-Bulk. Energies are from GGA-PBE.

Cell lengths 4.0675, 4.0675, 23.3925 Å; angles 90.00, 90.00, 120.00 degrees
Closest atoms and distances in Å follow each position.
Atoms (fractional coordinates):
Rb (0.0000, 0.0000, 0.0000)  6 S 3.32-3.40
Rb (0.3333, 0.6667, 0.6667)  6 S 3.32-3.40
Rb (0.6667, 0.3333, 0.3333)  6 S 3.32-3.40
Y (0.0000, 0.0000, 0.1691)  6 S 2.78
Y (0.3333, 0.6667, 0.8358)  6 S 2.78
Y (0.6667, 0.3333, 0.5025)  6 S 2.78
S (0.0000, 0.0000, 0.5663)  3 Y 2.78
S (0.0000, 0.0000, 0.7720)  3 Y 2.78
S (0.3333, 0.6667, 0.2330)  3 Y 2.78
S (0.3333, 0.6667, 0.4387)  3 Y 2.78
S (0.6667, 0.3333, 0.1054)  3 Y 2.78
S (0.6667, 0.3333, 0.8996)  3 Y 2.78

Output
Symmetry: R3m



No. 3
Here is RbY3S4 after structural relaxation from Alexandria via LeMat-Bulk. Energies are from GGA-PBE.

Cell lengths 3.9956, 3.9956, 28.1003 Å; angles 90.00, 90.00, 120.00 degrees
Closest atoms and distances in Å follow each position.
Atoms (fractional coordinates):
Rb (0.3333, 0.6667, 0.2500)  6 S 3.31
Rb (0.6667, 0.3333, 0.7500)  6 S 3.31
Y (0.0000, 0.0000, 0.0000)  6 S 2.80
Y (0.0000, 0.0000, 0.5000)  6 S 2.80
Y (0.3333, 0.6667, 0.6125)  6 S 2.75-2.80
Y (0.3333, 0.6667, 0.8875)  6 S 2.75-2.80
Y (0.6667, 0.3333, 0.1125)  6 S 2.75-2.80
Y (0.6667, 0.3333, 0.3875)  6 S 2.75-2.80
S (0.0000, 0.0000, 0.1655)  3 Y 2.75
S (0.0000, 0.0000, 0.3345)  3 Y 2.75
S (0.0000, 0.0000, 0.6655)  3 Y 2.75
S (0.0000, 0.0000, 0.8345)  3 Y 2.75
S (0.3333, 0.6667, 0.0562)  6 Y 2.80
S (0.3333, 0.6667, 0.4438)  6 Y 2.80
S (0.6667, 0.3333, 0.5562)  6 Y 2.80
S (0.6667, 0.3333, 0.9438)  6 Y 2.80

Output
Symmetry: P6_3/mmc



No. 4
Here is Rb5YS4 after structural relaxation from Alexandria via LeMat-Bulk. Energies are from GGA-PBE.

Cell lengths 10.3146, 10.3146, 8.5605 Å; angles 114.42, 114.42, 25.31 degrees
Closest atoms and distances in Å follow each position.
Atoms (fractional coordinates):
Rb (0.0000, 0.0000, 0.0000)  4 S 3.33
Rb (0.3310, 0.3310, 0.0812)  3 S 3.10-3.12
Rb (0.3310, 0.3310, 0.5826)  3 S 3.10-3.12
Rb (0.6690, 0.6690, 0.4174)  3 S 3.10-3.12
Rb (0.6690, 0.6690, 0.9188)  3 S 3.10-3.12
Y (0.0000, 0.0000, 0.5000)  6 S 2.91
S (0.1594, 0.1594, 0.6587)  1 Y 2.91, 4 Rb 3.12
S (0.5000, 0.5000, 0.2850)  2 Y 2.91, 2 Rb 3.10
S (0.5000, 0.5000, 0.7150)  2 Y 2.91, 2 Rb 3.10
S (0.8406, 0.8406, 0.3413)  1 Y 2.91, 4 Rb 3.12

Output
Symmetry: C2/m



No. 5
Here is RbYS2 after structural relaxation from Alexandria via LeMat-Bulk. Energies are from GGA-PBE.

Cell lengths 3.8641, 22.6420, 5.4431 Å; angles 90.00, 90.00, 90.00 degrees
Closest atoms and distances in Å follow each position.
Atoms (fractional coordinates):
Rb (0.0000, 0.0528, 0.2500)  2 S 2.95
Rb (0.0000, 0.9472, 0.7500)  2 S 2.95
Rb (0.5000, 0.4472, 0.7500)  2 S 2.95
Rb (0.5000, 0.5528, 0.2500)  2 S 2.95
Y (0.0000, 0.3142, 0.2500)  3 S 2.60-2.68
Y (0.0000, 0.6858, 0.7500)  3 S 2.60-2.68
Y (0.5000, 0.1858, 0.7500)  3 S 2.60-2.68
Y (0.5000, 0.8142, 0.2500)  3 S 2.60-2.68
S (0.0000, 0.1036, 0.7500)  2 Y 2.68, 2 Rb 2.95
S (0.0000, 0.1994, 0.2500)  1 Y 2.60
S (0.0000, 0.8006, 0.7500)  1 Y 2.60
S (0.0000, 0.8964, 0.2500)  2 Y 2.68, 2 Rb 2.95
S (0.5000, 0.3006, 0.7500)  1 Y 2.60
S (0.5000, 0.3964, 0.2500)  2 Y 2.68, 2 Rb 2.95
S (0.5000, 0.6036, 0.7500)  2 Y 2.68, 2 Rb 2.95
S (0.5000, 0.6994, 0.2500)  1 Y 2.60

Output
Symmetry: Cmcm



No. 6
Here is RbYS2 after structural relaxation from Alexandria via LeMat-Bulk. Energies are from GGA-PBE.

Cell lengths 7.3482, 7.3482, 18.0780 Å; angles 96.08, 96.08, 90.00 degrees
Closest atoms and distances in Å follow each position.
Atoms (fractional coordinates):
Rb (0.1072, 0.7305, 0.9225)  3 S 3.25-3.63, 1 Rb 3.60
Rb (0.2695, 0.8928, 0.5775)  3 S 3.25-3.63, 1 Rb 3.60
Rb (0.2707, 0.4048, 0.5836)  4 S 3.20-3.58
Rb (0.4048, 0.2707, 0.0836)  4 S 3.20-3.58
Rb (0.5952, 0.7293, 0.9164)  4 S 3.20-3.58
Rb (0.7293, 0.5952, 0.4164)  4 S 3.20-3.58
Rb (0.7305, 0.1072, 0.4225)  3 S 3.25-3.63, 1 Rb 3.60
Rb (0.8928, 0.2695, 0.0775)  3 S 3.25-3.63, 1 Rb 3.60
Y (0.1633, 0.7918, 0.1625)  3 S 2.58-2.89
Y (0.2020, 0.3295, 0.3125)  6 S 2.72-2.84
Y (0.2082, 0.8367, 0.3375)  3 S 2.58-2.89
Y (0.3295, 0.2020, 0.8125)  6 S 2.72-2.84
Y (0.6705, 0.7980, 0.1875)  6 S 2.72-2.84
Y (0.7918, 0.1633, 0.6625)  3 S 2.58-2.89
Y (0.7980, 0.6705, 0.6875)  6 S 2.72-2.84
Y (0.8367, 0.2082, 0.8375)  3 S 2.58-2.89
S (0.0481, 0.4216, 0.7513)  4 Y 2.83-2.91
S (0.0485, 0.9515, 0.7500)  4 Y 2.83-2.89
S (0.1261, 0.2315, 0.9326)  2 Y 2.58-2.75
S (0.2315, 0.1261, 0.4326)  2 Y 2.58-2.75
S (0.2310, 0.5934, 0.4310)  2 Y 2.58-2.72
S (0.4066, 0.7690, 0.0690)  2 Y 2.58-2.72
S (0.4204, 0.5796, 0.2500)  4 Y 2.84-2.90
S (0.4216, 0.0481, 0.2513)  4 Y 2.83-2.91
S (0.5784, 0.9519, 0.7487)  4 Y 2.83-2.91
S (0.5796, 0.4204, 0.7500)  4 Y 2.84-2.90
S (0.5934, 0.2310, 0.9310)  2 Y 2.58-2.72
S (0.7690, 0.4066, 0.5690)  2 Y 2.58-2.72
S (0.7685, 0.8739, 0.5674)  2 Y 2.58-2.75
S (0.8739, 0.7685, 0.0674)  2 Y 2.58-2.75
S (0.9515, 0.0485, 0.2500)  4 Y 2.83-2.89
S (0.9519, 0.5784, 0.2487)  4 Y 2.83-2.91

Output
Symmetry: C2/c



No. 7
Here is RbYS2 after structural relaxation from Alexandria via LeMat-Bulk. Energies are from GGA-PBE.

Cell lengths 4.1111, 4.1111, 8.2659 Å; angles 90.00, 90.00, 120.00 degrees
Closest atoms and distances in Å follow each position.
Atoms (fractional coordinates):
Rb (0.0000, 0.0000, 0.0000)  4 S 3.17-3.22
Y (0.6667, 0.3333, 0.5489)  6 S 2.74-2.84
S (0.0000, 0.0000, 0.3837)  3 Y 2.74
S (0.3333, 0.6667, 0.7372)  3 Y 2.84

Output
Symmetry: P3m1



No. 8
Here is RbYS2 after structural relaxation from Alexandria via LeMat-Bulk. Energies are from GGA-PBE.

Cell lengths 8.2484, 3.9886, 16.3148 Å; angles 90.00, 90.00, 90.00 degrees
Closest atoms and distances in Å follow each position.
Atoms (fractional coordinates):
Rb (0.0745, 0.2500, 0.1208)  5 S 3.20-3.51
Rb (0.4255, 0.7500, 0.6208)  5 S 3.20-3.51
Rb (0.5745, 0.2500, 0.3792)  5 S 3.20-3.51
Rb (0.9255, 0.7500, 0.8792)  5 S 3.20-3.51
Y (0.0304, 0.7500, 0.4007)  5 S 2.63-2.84
Y (0.4696, 0.2500, 0.9007)  5 S 2.63-2.84
Y (0.5304, 0.7500, 0.0993)  5 S 2.63-2.84
Y (0.9696, 0.2500, 0.5993)  5 S 2.63-2.84
S (0.0566, 0.7500, 0.6948)  2 Y 2.63
S (0.2062, 0.2500, 0.4871)  3 Y 2.68-2.84
S (0.2938, 0.7500, 0.9871)  3 Y 2.68-2.84
S (0.4434, 0.2500, 0.1948)  2 Y 2.63
S (0.5566, 0.7500, 0.8052)  2 Y 2.63
S (0.7062, 0.2500, 0.0129)  3 Y 2.68-2.84
S (0.7938, 0.7500, 0.5129)  3 Y 2.68-2.84
S (0.9434, 0.2500, 0.3052)  2 Y 2.63

Output
Symmetry: Pnma



For each record above, in turn, the calculated E_form (uncorrected) values are -1834 -1839 -1918 -1188 -1381 -1623 -1763 -1670 meV/atom.
For each record above, in turn, the calculated raw total energy values are -6.69 -5.76 -6.53 -3.97 -5.30 -5.54 -5.68 -5.59 eV per atom.